--- w ---
Compound: Ce2PaGe2
Source: the Alexandria database
Functional: PBE
Structure: relaxed

Results
Calculated density: 9.04 g cm⁻³
Space group: P4/mbm, No. 127
Size of the total moment: 0.70 μB/cell

Structure (POSCAR):
```
Ce2PaGe2
1.0
4.0130 0.0000 0.0000
0.0000 7.7530 0.0000
0.0000 0.0000 7.7530
Ce Pa Ge
4 2 4
direct
0.5000 0.1776 0.6776
0.5000 0.6776 0.8224
0.5000 0.8224 0.3224
0.5000 0.3224 0.1776
0.0000 0.0000 0.0000
0.0000 0.5000 0.5000
0.0000 0.3770 0.8770
0.0000 0.8770 0.6230
0.0000 0.6230 0.1230
0.0000 0.1230 0.3770
```

---

--- x ---
Compound: Ce2PaGe2
Source: the Alexandria database
Functional: PBE
Structure: relaxed

Results
Calculated density: 8.59 g cm⁻³
Space group: Cmmm, No. 65
Size of the total moment: 1.14 μB/cell

Structure (POSCAR):
```
Ce2PaGe2
1.0
-1.0131 1.2296 -4.5559
2.1071 -2.9786 -1.2725
-5.0139 -4.5865 2.4336
Ce Pa Ge
2 1 2
direct
0.3415 0.0000 0.6830
0.6585 0.0000 0.3170
0.0000 0.0000 0.0000
0.1610 0.5000 0.3221
0.8390 0.5000 0.6779
```

---

Quick one: least stable of them? x